Here is an optimized crystal structure of WSeF2 from the Alexandria database. Energies are from GGA+U.

Geometry as POSCAR:
```
WSeF2
1.0
-2.083 2.083 7.552
2.083 -2.083 7.552
2.083 2.083 -7.552
W Se F
2 2 4
Cartesian
0.000 0.000 0.000
0.000 2.083 3.776
2.083 0.000 3.776
0.000 0.000 7.552
0.454 1.042 1.888
-1.042 1.629 5.664
-0.454 3.125 1.888
1.042 2.537 5.664
```

Properties
ρ, Mg/m³: 7.62
Uncorrected energy, Ha/atom: -0.1640
Total magnetization, μB per cell: 4.00
Fermi-level density of states, states/eV per cell: 3.0
Excess energy over the best structure of this formula in the dataset, meV per atom: 56